Here is a relaxed HRu3Cl crystal from the Alexandria database. Energies are from GGA-PBE.

Unit cell a=3.953 b=3.953 c=3.953 alpha=90.00 beta=90.00 gamma=90.00
Fractional coordinates of all 5 atoms:
H: 0.000 0.000 0.000
Ru: 0.000 0.000 0.500
Ru: 0.000 0.500 0.000
Ru: 0.500 0.000 0.000
Cl: 0.500 0.500 0.500

ΔE to the lowest computed polymorph   0.0 meV per atom
V   62 Å³/f.u.
Raw total energy   -5.636 eV/atom

Here is a relaxed LiMg30AlO32 crystal from the Alexandria database. Energies are from GGA-PBE.

Unit cell a=8.485 b=8.485 c=8.496 alpha=90.00 beta=90.00 gamma=90.00
Fractional coordinates of all 64 atoms:
Li: 0.000 0.000 0.000
Mg: 0.000 0.248 0.246
Mg: 0.000 0.248 0.754
Mg: 0.000 0.500 0.000
Mg: 0.000 0.500 0.500
Mg: 0.000 0.752 0.246
Mg: 0.000 0.752 0.754
Mg: 0.247 0.247 0.000
Mg: 0.247 0.753 0.000
Mg: 0.248 0.000 0.246
Mg: 0.248 0.000 0.754
Mg: 0.250 0.250 0.500
Mg: 0.250 0.500 0.249
Mg: 0.250 0.500 0.751
Mg: 0.250 0.750 0.500
Mg: 0.500 0.000 0.000
Mg: 0.500 0.000 0.500
Mg: 0.500 0.250 0.249
Mg: 0.500 0.250 0.751
Mg: 0.500 0.500 0.000
Mg: 0.500 0.500 0.500
Mg: 0.500 0.750 0.249
Mg: 0.500 0.750 0.751
Mg: 0.750 0.250 0.500
Mg: 0.750 0.500 0.249
Mg: 0.750 0.500 0.751
Mg: 0.750 0.750 0.500
Mg: 0.752 0.000 0.246
Mg: 0.752 0.000 0.754
Mg: 0.753 0.247 0.000
Mg: 0.753 0.753 0.000
Al: 0.000 0.000 0.500
O: 0.000 0.000 0.274
O: 0.000 0.000 0.726
O: 0.000 0.237 0.500
O: 0.000 0.254 0.000
O: 0.000 0.500 0.254
O: 0.000 0.500 0.746
O: 0.000 0.746 0.000
O: 0.000 0.763 0.500
O: 0.237 0.000 0.500
O: 0.248 0.500 0.500
O: 0.250 0.250 0.251
O: 0.250 0.250 0.749
O: 0.250 0.500 0.000
O: 0.250 0.750 0.251
O: 0.250 0.750 0.749
O: 0.254 0.000 0.000
O: 0.500 0.000 0.254
O: 0.500 0.000 0.746
O: 0.500 0.248 0.500
O: 0.500 0.250 0.000
O: 0.500 0.500 0.251
O: 0.500 0.500 0.749
O: 0.500 0.750 0.000
O: 0.500 0.752 0.500
O: 0.746 0.000 0.000
O: 0.750 0.250 0.251
O: 0.750 0.250 0.749
O: 0.750 0.500 0.000
O: 0.750 0.750 0.251
O: 0.750 0.750 0.749
O: 0.752 0.500 0.500
O: 0.763 0.000 0.500

ΔE_f (raw)   -2.702 eV per atom
V   612 Å³/f.u.
Raw total energy   -6.017 eV/atom

Here is a relaxed TeSeCl crystal from the Alexandria database. Energies are from GGA-PBE.

Unit cell a=4.634 b=5.473 c=8.065 alpha=98.90 beta=102.62 gamma=91.04
Fractional coordinates of all 6 atoms:
Te: 0.000 0.000 0.000
Te: 0.476 0.289 0.809
Se: 0.480 0.920 0.567
Se: 0.824 0.637 0.686
Cl: 0.080 0.263 0.287
Cl: 0.378 0.710 0.108

ΔE_f (raw)   -0.190 eV per atom
ΔE to the lowest computed polymorph   60.9 meV per atom
V   98 Å³/f.u.
Raw total energy   -3.014 eV/atom

Here is a relaxed La2CoHg crystal from the Alexandria database. Energies are from GGA-PBE.

Unit cell a=8.232 b=8.232 c=8.232 alpha=28.75 beta=28.75 gamma=28.75
Fractional coordinates of all 4 atoms:
La: 0.000 0.000 0.000
La: 0.206 0.206 0.206
Co: 0.601 0.601 0.601
Hg: 0.436 0.436 0.436

V   114 Å³/f.u.
Raw total energy   -4.570 eV/atom

Here is a relaxed Tm2PaO6 crystal from the Alexandria database. Energies are from GGA-PBE.

Unit cell a=5.081 b=5.081 c=10.435 alpha=90.00 beta=90.00 gamma=90.00
Fractional coordinates of all 18 atoms:
Tm: 0.000 0.000 0.166
Tm: 0.000 0.000 0.834
Tm: 0.500 0.500 0.334
Tm: 0.500 0.500 0.666
Pa: 0.000 0.000 0.500
Pa: 0.500 0.500 0.000
O: 0.190 0.190 0.338
O: 0.190 0.190 0.662
O: 0.198 0.198 0.000
O: 0.302 0.698 0.500
O: 0.310 0.690 0.162
O: 0.310 0.690 0.838
O: 0.690 0.310 0.162
O: 0.690 0.310 0.838
O: 0.698 0.302 0.500
O: 0.802 0.802 0.000
O: 0.810 0.810 0.338
O: 0.810 0.810 0.662

ΔE_f (raw)   -3.347 eV per atom
ΔE to the lowest computed polymorph   78.5 meV per atom
V   135 Å³/f.u.
Raw total energy   -8.701 eV/atom

Here is a relaxed LiMgCuBi crystal from the Alexandria database. Energies are from GGA-PBE.

Unit cell a=4.835 b=4.835 c=4.835 alpha=60.00 beta=60.00 gamma=60.00
Fractional coordinates of all 4 atoms:
Li: 0.000 0.000 0.000
Mg: 0.500 0.500 0.500
Cu: 0.250 0.250 0.250
Bi: 0.750 0.750 0.750

V   80 Å³/f.u.
Raw total energy   -2.953 eV/atom